This record from Alexandria describes YCuRhAu after structural relaxation. The functional is PBE-GGA.

Geometry as CIF:
```
data_YCuRhAu
_symmetry_space_group_name_H-M 'P 1'
_symmetry_Int_Tables_number 1
_cell_length_a 3.990
_cell_length_b 3.999
_cell_length_c 4.380
_cell_angle_alpha 90.00
_cell_angle_beta 90.00
_cell_angle_gamma 90.00
loop_
_symmetry_equiv_pos_as_xyz
'x,y,z'
loop_
_atom_site_label
_atom_site_fract_x
_atom_site_fract_y
_atom_site_fract_z
Y1 0.000 0.500 0.500
Cu1 0.000 0.000 0.000
Rh1 0.500 0.000 0.500
Au1 0.500 0.500 0.000
```

Properties
The formation enthalpy at 0 K is -51 kJ/mol of atoms. The energy comes out at -23.3 eV per cell. As for the symmetry: No. 47.

---

This record from Alexandria describes Pm8RhC3Cl4 after structural relaxation. The functional is PBE-GGA.

Geometry as CIF:
```
data_Pm8RhC3Cl4
_symmetry_space_group_name_H-M 'P 1'
_symmetry_Int_Tables_number 1
_cell_length_a 7.745
_cell_length_b 8.318
_cell_length_c 7.746
_cell_angle_alpha 117.77
_cell_angle_beta 120.00
_cell_angle_gamma 90.00
loop_
_symmetry_equiv_pos_as_xyz
'x,y,z'
loop_
_atom_site_label
_atom_site_fract_x
_atom_site_fract_y
_atom_site_fract_z
Pm1 0.243 0.698 0.955
Pm2 0.243 0.698 0.486
Pm3 0.269 0.306 0.537
Pm4 0.712 0.698 0.955
Pm5 0.288 0.302 0.045
Pm6 0.731 0.694 0.463
Pm7 0.757 0.302 0.514
Pm8 0.757 0.302 0.045
Rh1 0.000 0.500 0.000
C1 0.500 0.500 0.000
C2 0.500 0.500 0.500
C3 0.000 0.500 0.500
Cl1 0.500 0.000 0.000
Cl2 0.500 0.000 0.500
Cl3 0.000 0.000 0.000
Cl4 0.000 0.000 0.500
```

Properties
The energy comes out at -96.4 eV per cell. The energy relative to the elements, uncorrected comes out at -1.001 eV per atom. As for the symmetry: No. 166.

---

This record from Alexandria describes LaMnW2 after structural relaxation. The functional is PBE-GGA.

Geometry as CIF:
```
data_LaMnW2
_symmetry_space_group_name_H-M 'P 1'
_symmetry_Int_Tables_number 1
_cell_length_a 4.947
_cell_length_b 4.947
_cell_length_c 8.834
_cell_angle_alpha 73.74
_cell_angle_beta 73.74
_cell_angle_gamma 90.00
loop_
_symmetry_equiv_pos_as_xyz
'x,y,z'
loop_
_atom_site_label
_atom_site_fract_x
_atom_site_fract_y
_atom_site_fract_z
Mn1 0.500 0.500 0.000
Mn2 0.250 0.750 0.500
W1 0.375 0.125 0.250
W2 0.375 0.625 0.250
W3 0.375 0.625 0.750
W4 0.875 0.625 0.750
La1 0.000 0.000 0.000
La2 0.750 0.250 0.500
```

Properties
The formation enthalpy at 0 K is 110 kJ/mol of atoms. The value obtained for the offset from the most stable computed form is 2.95 eV per formula unit. The energy comes out at -70.9 eV per cell. As for the symmetry: No. 141.